Entry from Alexandria via LeMat-Bulk: a geometry-optimized NpPaMnSe6 structure (GGA-PBE).

Structure (POSCAR):
```
NpPaMnSe6
1.0
6.691 0.000 0.000
-3.345 5.794 0.000
0.000 0.000 6.383
Np Pa Mn Se
1 1 1 6
Cartesian
0.000 0.000 0.000
3.345 1.931 3.191
0.000 3.863 0.000
-1.067 1.998 1.571
-2.148 3.871 4.811
1.067 1.998 4.811
-1.081 5.719 1.571
2.148 3.871 1.571
1.081 5.719 4.811
```

Output
E_form (uncorrected): -825 meV/atom
total DFT energy (no corrections): -6.66 eV per atom